No. 1
Entry from the Alexandria database: an optimized crystal structure of DyTh2Bi2 (PBE).

Properties
For the magnetization, the calculation gives 0.00 μB/f.u. The calculated total energy is -5.65 eV/atom. Its density of states at the Fermi level is 0.81 states/eV per atom. Its formation enthalpy at 0 K is -0.2090 eV/atom.

```
data_DyTh2Bi2
_chemical_formula_sum 'Dy1 Th2 Bi2'
_space_group_name_H-M_alt 'P 1'
_space_group_IT_number 1
_space_group_name_Hall 'P 1'
_cell_length_a 4.681
_cell_length_b 4.681
_cell_length_c 9.198
_cell_angle_alpha 113.18
_cell_angle_beta 113.18
_cell_angle_gamma 85.21
loop_
_atom_site_label
_atom_site_type_symbol
_atom_site_fract_x
_atom_site_fract_y
_atom_site_fract_z
Dy1 Dy 0.000 0.000 0.000
Bi1 Bi 0.462 0.462 0.807
Bi2 Bi 0.538 0.538 0.193
Th1 Th 0.749 0.251 0.500
Th2 Th 0.251 0.749 0.500
```



No. 2
Entry from the Alexandria database: an optimized crystal structure of DyTh2Bi (PBE).

Properties
For the magnetization, the calculation gives 0.00 μB/f.u. The calculated total energy is -6.17 eV/atom. Its offset from the most stable computed form is 0.000 eV per atom. Its density of states at the Fermi level is 0.99 states/eV per atom. Its formation enthalpy at 0 K is -0.3352 eV/atom.

```
data_DyTh2Bi
_chemical_formula_sum 'Dy2 Th4 Bi2'
_space_group_name_H-M_alt 'P 1'
_space_group_IT_number 1
_space_group_name_Hall 'P 1'
_cell_length_a 4.681
_cell_length_b 4.724
_cell_length_c 11.765
_cell_angle_alpha 90.00
_cell_angle_beta 101.54
_cell_angle_gamma 90.00
loop_
_atom_site_label
_atom_site_type_symbol
_atom_site_fract_x
_atom_site_fract_y
_atom_site_fract_z
Th1 Th 0.062 0.750 0.123
Th2 Th 0.938 0.250 0.877
Th3 Th 0.557 0.250 0.113
Th4 Th 0.443 0.750 0.887
Bi1 Bi 0.825 0.750 0.652
Bi2 Bi 0.175 0.250 0.348
Dy1 Dy 0.310 0.250 0.622
Dy2 Dy 0.690 0.750 0.378
```



No. 3
Entry from the Alexandria database: an optimized crystal structure of DyTh2Bi (PBE).

Properties
For the magnetization, the calculation gives 0.00 μB/f.u. The calculated total energy is -6.13 eV/atom. Its offset from the most stable computed form is 0.037 eV per atom. Its density of states at the Fermi level is 0.77 states/eV per atom. Its formation enthalpy at 0 K is -0.2982 eV/atom.

```
data_DyTh2Bi
_chemical_formula_sum 'Dy1 Th2 Bi1'
_space_group_name_H-M_alt 'P 1'
_space_group_IT_number 1
_space_group_name_Hall 'P 1'
_cell_length_a 5.305
_cell_length_b 4.761
_cell_length_c 4.761
_cell_angle_alpha 90.00
_cell_angle_beta 90.00
_cell_angle_gamma 90.00
loop_
_atom_site_label
_atom_site_type_symbol
_atom_site_fract_x
_atom_site_fract_y
_atom_site_fract_z
Th1 Th 0.000 0.000 0.500
Th2 Th 0.000 0.500 0.000
Bi1 Bi 0.500 0.000 0.000
Dy1 Dy 0.500 0.500 0.500
```



No. 4
Entry from the Alexandria database: an optimized crystal structure of DyTh2Bi3 (PBE).

Properties
For the magnetization, the calculation gives 0.00 μB/f.u. The calculated total energy is -5.78 eV/atom. Its offset from the most stable computed form is 0.060 eV per atom. Its density of states at the Fermi level is 0.45 states/eV per atom. Its formation enthalpy at 0 K is -0.5972 eV/atom.

```
data_DyTh2Bi3
_chemical_formula_sum 'Dy2 Th4 Bi6'
_space_group_name_H-M_alt 'P 1'
_space_group_IT_number 1
_space_group_name_Hall 'P 1'
_cell_length_a 4.561
_cell_length_b 8.951
_cell_length_c 11.027
_cell_angle_alpha 106.63
_cell_angle_beta 90.00
_cell_angle_gamma 104.76
loop_
_atom_site_label
_atom_site_type_symbol
_atom_site_fract_x
_atom_site_fract_y
_atom_site_fract_z
Bi1 Bi 0.692 0.383 0.139
Bi2 Bi 0.366 0.732 0.472
Bi3 Bi 0.026 0.053 0.807
Bi4 Bi 0.308 0.617 0.861
Bi5 Bi 0.974 0.947 0.193
Bi6 Bi 0.634 0.268 0.528
Th1 Th 0.168 0.337 0.337
Th2 Th 0.333 0.666 0.165
Th3 Th 0.832 0.663 0.663
Th4 Th 0.667 0.334 0.835
Dy1 Dy 0.000 0.000 0.500
Dy2 Dy 0.500 0.000 0.000
```